# 1
PBE with a Hubbard U BaMnNbO6, relaxed; crystal system = trigonal
1.0
5.267 0.001 -0.001
2.634 4.561 0.002
0.003 -0.007 5.776
Ba O Nb Mn
1 6 1 1
Cartesian
5.271 -0.006 5.768 Ba
6.259 1.828 1.767 O
4.270 1.836 4.013 O
6.809 2.773 4.012 O
3.725 2.786 1.768 O
5.823 4.501 1.769 O
4.729 4.503 4.014 O
2.636 1.518 2.878 Nb
5.269 3.038 2.891 Mn

# 2
PBE with a Hubbard U Ba3Mn2NbO8, relaxed; crystal system = trigonal
1.0
5.937 0.000 0.000
-2.969 5.142 0.000
0.000 0.000 7.596
Ba Mn O Nb
3 2 8 1
Cartesian
0.000 0.000 0.000 Ba
2.969 1.714 2.652 Ba
0.000 3.428 4.943 Ba
2.969 1.714 5.969 Mn
0.000 3.428 1.626 Mn
-1.556 4.326 2.594 O
0.000 3.428 7.374 O
4.525 0.816 5.001 O
2.969 3.511 5.001 O
1.556 4.326 2.594 O
0.000 1.631 2.594 O
2.969 1.714 0.221 O
1.413 0.816 5.001 O
0.000 0.000 3.798 Nb

Number 1: raw total energy -7.5359 eV per atom, size of the total moment 1.964 μB/cell. Number 2: raw total energy -7.3156 eV per atom, size of the total moment 9.000 μB/cell.